Here is a relaxed CsMgTlIn2 crystal from the Alexandria database. Energies are from PBE.

Cell: 5.603 5.603 6.612 Å, 90.00 90.00 90.00°
Space group P4/mmm (No. 123)
Asymmetric unit:
Cs (0.000, 0.000, 0.000)
Mg (0.000, 0.000, 0.500)
Tl (0.500, 0.500, 0.000)
In (0.000, 0.500, 0.500)

Results
electronic total energy	-8.8	eV per cell



Here is a relaxed PuTiCl2 crystal from the Alexandria database. Energies are from PBE.

Cell: 3.2546 3.2546 27.6838 Å, 90.00 90.00 120.00°
Space group R-3m (No. 166, hexagonal axes)
Asymmetric unit:
Pu (0.0000, 0.0000, 0.0000)
Ti (0.0000, 0.0000, 0.5000)
Cl (0.0000, 0.0000, 0.1062)

Results
raw formation energy	-806	meV per atom



Here is a relaxed SrLiIn2Pd2 crystal from the Alexandria database. Energies are from PBE.

Cell: 4.6817 4.6817 7.1987 Å, 90.00 90.00 120.00°
Space group P-3m1 (No. 164)
Asymmetric unit:
Sr (0.0000, 0.0000, 0.0000)
Li (0.0000, 0.0000, 0.5000)
In (0.3333, 0.6667, 0.6747)
Pd (0.3333, 0.6667, 0.2904)

Results
electronic total energy	-22.9	eV per cell



Here is a relaxed La4W crystal from the Alexandria database. Energies are from PBE.

Cell: 5.692 5.692 5.692 Å, 90.00 90.00 90.00°
Space group Pm-3m (No. 221)
Asymmetric unit:
La (0.000, 0.000, 0.000)
La (0.000, 0.500, 0.500)
W (0.500, 0.500, 0.500)

Results
ΔE to the lowest computed polymorph	139	meV/atom



Here is a relaxed TcMoPt2Rh2 crystal from the Alexandria database. Energies are from PBE.

Cell: 4.943 5.160 7.401 Å, 90.00 98.02 90.00°
Space group P2_1/m (No. 11)
Asymmetric unit:
Tc (0.101, 0.250, 0.422)
Mo (0.064, 0.750, 0.276)
Pt (0.452, 0.501, 0.680)
Rh (0.116, 0.750, 0.908)
Rh (0.359, 0.250, 0.990)

Results
electronic total energy	-95.0	eV per cell